The following is a DFT calculation (GGA-PBE) of crystalline AsI4Br at its relaxed geometry.

Properties
Energy relative to the elements, uncorrected: 3 kJ/mol of formula units
Uncorrected energy: -25.0 eV/cell
Symmetry: C2/m
Calculated volume: 533 Å³/cell

```
AsI4Br
1.0
7.828 0.000 -1.421
0.000 8.820 0.000
-4.021 -4.410 8.450
As I Br
2 8 2
direct
0.313 0.569 0.137
0.687 0.431 0.863
0.400 0.723 0.445
0.356 0.189 0.806
0.000 0.267 0.000
0.644 0.383 0.194
0.600 0.277 0.555
0.644 0.811 0.194
0.000 0.733 0.000
0.356 0.617 0.806
0.929 0.759 0.518
0.071 0.241 0.482
```